Entry one
A plane-wave DFT calculation with PBE-GGA was carried out for Li2GaAs2 after structural relaxation.

Values from the calculation:
Its density of states at the Fermi level is 1.6 states/eV/f.u.

a b c (Å): 4.326 4.326 6.082
angles (deg): 69.17 69.17 90.00
Atoms (fractional coordinates):
Li1 0.750 0.250 0.500
Li2 0.250 0.750 0.500
Ga1 0.000 0.000 0.000
As1 0.389 0.389 0.223
As2 0.611 0.611 0.777

Entry two
A plane-wave DFT calculation with PBE-GGA was carried out for Li2GaAs2 after structural relaxation.

Values from the calculation:
Its density of states at the Fermi level is 1.3 states/eV/f.u.

a b c (Å): 7.866 7.866 2.775
angles (deg): 90.00 90.00 90.00
Atoms (fractional coordinates):
Li1 0.122 0.622 0.500
Li2 0.378 0.122 0.500
Li3 0.622 0.878 0.500
Li4 0.878 0.378 0.500
As1 0.676 0.176 0.000
As2 0.824 0.676 0.000
As3 0.324 0.824 0.000
As4 0.176 0.324 0.000
Ga1 0.500 0.500 0.000
Ga2 0.000 0.000 0.000

In terms of stability, entry two leads; the second structure lies 0.107 eV/atom higher.

Entry one
A plane-wave DFT calculation with PBE-GGA was carried out for Na2LiGaAs2 after structural relaxation.

a b c (Å): 5.863 6.257 8.222
angles (deg): 112.36 110.89 90.00
Atoms (fractional coordinates):
Li1 0.000 0.750 0.000
Li2 0.000 0.250 0.000
Na1 0.940 0.677 0.353
Na2 0.060 0.323 0.647
Na3 0.586 0.823 0.647
Na4 0.414 0.177 0.353
As1 0.624 0.393 0.787
As2 0.162 0.893 0.787
As3 0.838 0.107 0.213
As4 0.376 0.607 0.213
Ga1 0.500 0.250 0.000
Ga2 0.500 0.750 0.000

Entry two
A plane-wave DFT calculation with PBE-GGA was carried out for Na2LiGaAs2 after structural relaxation.

a b c (Å): 9.323 9.323 5.918
angles (deg): 90.00 90.00 98.66
Atoms (fractional coordinates):
Li1 0.119 0.119 0.000
Li2 0.619 0.619 0.500
Li3 0.881 0.881 0.000
Li4 0.381 0.381 0.500
Na1 0.324 0.676 0.279
Na2 0.824 0.176 0.221
Na3 0.176 0.824 0.779
Na4 0.428 0.072 0.250
Na5 0.572 0.928 0.750
Na6 0.676 0.324 0.721
Na7 0.928 0.572 0.250
Na8 0.072 0.428 0.750
As1 0.893 0.107 0.719
As2 0.857 0.643 0.750
As3 0.607 0.393 0.219
As4 0.393 0.607 0.781
As5 0.357 0.143 0.750
As6 0.143 0.357 0.250
As7 0.107 0.893 0.281
As8 0.643 0.857 0.250
Ga1 0.631 0.631 0.000
Ga2 0.369 0.369 0.000
Ga3 0.869 0.869 0.500
Ga4 0.131 0.131 0.500

In terms of stability, entry two leads; the second structure lies 0.020 eV/atom higher.

Entry one
A plane-wave DFT calculation with PBE-GGA was carried out for LiGaAsRu2 after structural relaxation.

Values from the calculation:
Its density of states at the Fermi level is 4.2 states/eV/f.u.

a b c (Å): 4.567 4.567 4.908
angles (deg): 90.00 90.00 90.00
Atoms (fractional coordinates):
Ru1 0.500 0.000 0.000
Ru2 0.000 0.500 0.000
Ga1 0.000 0.000 0.500
Li1 0.500 0.500 0.500
As1 0.000 0.000 0.000

Entry two
A plane-wave DFT calculation with PBE-GGA was carried out for LiGaAsRu2 after structural relaxation.

Values from the calculation:
Its density of states at the Fermi level is 2.2 states/eV/f.u.

a b c (Å): 4.537 4.312 4.537
angles (deg): 90.00 90.00 90.00
Atoms (fractional coordinates):
Ga1 0.500 0.500 0.500
Ru1 0.500 0.000 0.000
Ru2 0.000 0.000 0.500
As1 0.000 0.000 0.000
Li1 0.000 0.500 0.000

In terms of stability, entry two leads; the second structure lies 0.279 eV/atom higher.